Below is crystalline Y8AuSe4S3 at its relaxed geometry, with properties calculated at the GGA-PBE level.

The magnetization is 0.0 μB/f.u. As for the volume: 23.4 Å³/atom. The raw formation energy comes out at -2690 kJ/mol of formula units.

The space group is R-3m (No. 166, hexagonal axes) and the conventional cell measures 8.0649, 8.0649 and 19.9646 Å, with angles of 90.00, 90.00 and 120.00 degrees. The asymmetric unit holds Y at (0.0000, 0.0000, 0.2423), Y at (0.0065, 0.5032, 0.7543), Au at (0.0000, 0.0000, 0.5000), Se at (0.0000, 0.0000, 0.0000), Se at (0.0000, 0.5000, 0.0000) and S at (0.0000, 0.5000, 0.5000).


Below is crystalline Ta2Ti4Sn at its relaxed geometry, with properties calculated at the GGA-PBE level.

The magnetization is 0.0 μB/f.u. As for the volume: 18.1 Å³/atom. The distance to the lowest polymorph of the same formula comes out at 0 meV/atom.

The space group is P-1 (No. 2) and the conventional cell measures 2.9184, 4.5864 and 9.8357 Å, with angles of 103.45, 98.41 and 90.15 degrees. The asymmetric unit holds Ta at (0.1909, 0.2892, 0.0786), Ti at (0.0337, 0.4237, 0.3479), Ti at (0.3883, 0.1497, 0.7995) and Sn at (0.5000, 0.0000, 0.5000).


Below is crystalline NdNiH at its relaxed geometry, with properties calculated at the GGA-PBE level.

The magnetization is 0.0 μB/f.u. As for the volume: 15.4 Å³/atom. The distance to the lowest polymorph of the same formula comes out at 299 meV/atom.

The space group is P-6m2 (No. 187) and the conventional cell measures 3.8709, 3.8709 and 3.5663 Å, with angles of 90.00, 90.00 and 120.00 degrees. The asymmetric unit holds Nd at (0.0000, 0.0000, 0.0000), Ni at (0.6667, 0.3333, 0.5000) and H at (0.3333, 0.6667, 0.5000).


Below is crystalline Pr2Y12Ho at its relaxed geometry, with properties calculated at the GGA-PBE level.

The magnetization is 0.0 μB/f.u. As for the volume: 33.7 Å³/atom. As for the final energy: -0.4372 Ry/atom.

The space group is Cmme (No. 67) and the conventional cell measures 7.0956, 11.4245 and 24.9341 Å, with angles of 90.00, 90.00 and 90.00 degrees. The asymmetric unit holds Pr at (0.0000, 0.2500, 0.2300), Pr at (0.0000, 0.2500, 0.7648), Y at (0.0000, 0.9997, 0.4239), Y at (0.0000, 0.0144, 0.0606), Y at (0.2385, 0.2500, 0.9159), Y at (0.2500, 0.0000, 0.1724), Y at (0.2500, 0.0000, 0.3020), Y at (0.2495, 0.2500, 0.3747) and Ho at (0.0000, 0.2500, 0.4999).


Below is crystalline TiCrB2Ir at its relaxed geometry, with properties calculated at the GGA-PBE level.

The magnetization is 0.1 μB/f.u. As for the volume: 14.9 Å³/atom. As for the final energy: -0.4558 Ry/atom.

The space group is P4/mmm (No. 123) and the conventional cell measures 4.0454, 4.0454 and 4.5571 Å, with angles of 90.00, 90.00 and 90.00 degrees. The asymmetric unit holds Ti at (0.0000, 0.0000, 0.0000), Cr at (0.5000, 0.5000, 0.5000), B at (0.0000, 0.5000, 0.0000) and Ir at (0.0000, 0.0000, 0.5000).


Below is crystalline HfBRh2 at its relaxed geometry, with properties calculated at the GGA-PBE level.

The magnetization is 0.0 μB/f.u. As for the volume: 14.6 Å³/atom. As for the final energy: -0.6158 Ry/atom.

The space group is I-42d (No. 122) and the conventional cell measures 6.7608, 6.7608 and 5.1209 Å, with angles of 90.00, 90.00 and 90.00 degrees. The asymmetric unit holds Hf at (0.0000, 0.0000, 0.0000), B at (0.0000, 0.0000, 0.5000) and Rh at (0.1430, 0.7500, 0.6250).


Below is crystalline Tm2ZrIn at its relaxed geometry, with properties calculated at the GGA-PBE level.

The magnetization is 0.0 μB/f.u. As for the volume: 26.2 Å³/atom. The distance to the lowest polymorph of the same formula comes out at 0 meV/atom.

The space group is P4/mmm (No. 123) and the conventional cell measures 3.4406, 3.4406 and 8.8384 Å, with angles of 90.00, 90.00 and 90.00 degrees. The asymmetric unit holds Tm at (0.0000, 0.0000, 0.2453), Zr at (0.5000, 0.5000, 0.5000) and In at (0.5000, 0.5000, 0.0000).


Below is crystalline MgCd3Ga3 at its relaxed geometry, with properties calculated at the GGA-PBE level.

The magnetization is 0.0 μB/f.u. As for the volume: 20.7 Å³/atom. The distance to the lowest polymorph of the same formula comes out at 0 meV/atom.

The space group is R-3 (No. 148, hexagonal axes) and the conventional cell measures 8.1003, 8.1003 and 15.3160 Å, with angles of 90.00, 90.00 and 120.00 degrees. The asymmetric unit holds Mg at (0.0000, 0.0000, 0.2447), Cd at (0.0498, 0.2401, 0.4152) and Ga at (0.0514, 0.2337, 0.9179).


Below is crystalline ZrTeAs2 at its relaxed geometry, with properties calculated at the GGA-PBE level.

The magnetization is 0.0 μB/f.u. As for the volume: 25.5 Å³/atom. The raw formation energy comes out at -150 kJ/mol of formula units.

The space group is P4mm (No. 99) and the conventional cell measures 3.5400, 3.5400 and 8.1355 Å, with angles of 90.00, 90.00 and 90.00 degrees. The asymmetric unit holds Zr at (0.0000, 0.0000, 0.0000), Te at (0.5000, 0.5000, 0.7882), As at (0.0000, 0.0000, 0.3389) and As at (0.5000, 0.5000, 0.2012).


Below is crystalline Ca3CrPd at its relaxed geometry, with properties calculated at the GGA-PBE level.

The magnetization is 4.9 μB/f.u. As for the volume: 33.8 Å³/atom. The distance to the lowest polymorph of the same formula comes out at 0 meV/atom.

The space group is Pm-3m (No. 221) and the conventional cell measures 5.5279, 5.5279 and 5.5279 Å, with angles of 90.00, 90.00 and 90.00 degrees. The asymmetric unit holds Ca at (0.0000, 0.0000, 0.5000), Cr at (0.5000, 0.5000, 0.5000) and Pd at (0.0000, 0.0000, 0.0000).


Below is crystalline ThZrTl2 at its relaxed geometry, with properties calculated at the GGA-PBE level.

The magnetization is 0.0 μB/f.u. As for the volume: 26.4 Å³/atom. The distance to the lowest polymorph of the same formula comes out at 36 meV/atom.

The space group is P4/mmm (No. 123) and the conventional cell measures 4.7745, 4.7745 and 4.6372 Å, with angles of 90.00, 90.00 and 90.00 degrees. The asymmetric unit holds Th at (0.0000, 0.0000, 0.0000), Zr at (0.5000, 0.5000, 0.0000) and Tl at (0.0000, 0.5000, 0.5000).


Below is crystalline Dy2SeN at its relaxed geometry, with properties calculated at the GGA-PBE level.

The magnetization is 0.0 μB/f.u. As for the volume: 19.0 Å³/atom. The distance to the lowest polymorph of the same formula comes out at 1 meV/atom. The raw formation energy comes out at -661 kJ/mol of formula units.

The space group is R-3m (No. 166, hexagonal axes) and the conventional cell measures 3.6685, 3.6685 and 19.5343 Å, with angles of 90.00, 90.00 and 120.00 degrees. The asymmetric unit holds Dy at (0.0000, 0.0000, 0.2329), Se at (0.0000, 0.0000, 0.0000) and N at (0.0000, 0.0000, 0.5000).


Below is crystalline HfSiN2O at its relaxed geometry, with properties calculated at the GGA-PBE level.

The magnetization is 1.9 μB/f.u. As for the volume: 14.5 Å³/atom. The raw formation energy comes out at -14 kJ/mol of formula units.

The space group is P4/mmm (No. 123) and the conventional cell measures 4.2320, 4.2320 and 4.0393 Å, with angles of 90.00, 90.00 and 90.00 degrees. The asymmetric unit holds Hf at (0.0000, 0.0000, 0.0000), Si at (0.5000, 0.5000, 0.5000), N at (0.0000, 0.5000, 0.0000) and O at (0.0000, 0.0000, 0.5000).


Below is crystalline Be3Tl at its relaxed geometry, with properties calculated at the GGA-PBE level.

The magnetization is 0.0 μB/f.u. As for the volume: 13.2 Å³/atom. The distance to the lowest polymorph of the same formula comes out at 393 meV/atom.

The space group is Pm-3m (No. 221) and the conventional cell measures 3.7509, 3.7509 and 3.7509 Å, with angles of 90.00, 90.00 and 90.00 degrees. The asymmetric unit holds Be at (0.0000, 0.0000, 0.5000) and Tl at (0.5000, 0.5000, 0.5000).


Below is crystalline TmPuCdPd at its relaxed geometry, with properties calculated at the GGA-PBE level.

The magnetization is 5.5 μB/f.u. As for the volume: 23.8 Å³/atom. As for the final energy: -0.4802 Ry/atom.

The space group is F-43m (No. 216) and the conventional cell measures 7.2434, 7.2434 and 7.2434 Å, with angles of 90.00, 90.00 and 90.00 degrees. The asymmetric unit holds Tm at (0.0000, 0.0000, 0.0000), Pu at (0.0000, 0.0000, 0.5000), Cd at (0.2500, 0.2500, 0.7500) and Pd at (0.2500, 0.2500, 0.2500).